A plane-wave DFT calculation with GGA-PBE was carried out for an optimized crystal structure of Tb3Er2Tm.

distance to the lowest polymorph of the same formula: 0.0 meV per atom
SG: P-1 (2)
energy of formation: 0.6 meV per atom
DOS at the Fermi energy: 1.234 states/eV/atom
electronic total energy: -4.58 eV per atom

```
data_Tb3Er2Tm
_chemical_formula_sum 'Tb6 Er4 Tm2'
_space_group_name_H-M_alt 'P 1'
_space_group_IT_number 1
_space_group_name_Hall 'P 1'
_cell_length_a 7.109
_cell_length_b 7.111
_cell_length_c 8.738
_cell_angle_alpha 78.24
_cell_angle_beta 78.27
_cell_angle_gamma 60.02
loop_
_atom_site_label
_atom_site_fract_x
_atom_site_fract_y
_atom_site_fract_z
_atom_site_occupancy
Tb1 0.139 0.139 0.167 1
Tb2 0.250 0.250 0.501 1
Tb3 0.361 0.860 0.835 1
Tb4 0.639 0.140 0.165 1
Tb5 0.750 0.750 0.499 1
Tb6 0.861 0.861 0.833 1
Er1 0.139 0.638 0.166 1
Er2 0.361 0.362 0.833 1
Er3 0.639 0.638 0.167 1
Er4 0.861 0.362 0.834 1
Tm1 0.251 0.749 0.499 1
Tm2 0.749 0.251 0.501 1
```